Compound: Sr2AlZnAg6
Source: Alexandria
Functional: PBE-GGA
Structure: optimized geometry

a = 12.946 Å, b = 5.821 Å, c = 8.745 Å
α = 90.00°, β = 132.31°, γ = 90.00°
Space group C2/m (No. 12)
Symmetry-distinct sites (fractional):
Sr (0.249, 0.000, 0.204) [4 per cell]
Al (0.000, 0.000, 0.500) [2 per cell]
Zn (0.000, 0.500, 0.000) [2 per cell]
Ag (0.014, 0.251, 0.266) [8 per cell]
Ag (0.249, 0.500, 0.391) [4 per cell]

Values from the calculation:
Uncorrected energy ... -54.1 eV per cell
DOS(E_F) ... 4.2 states/eV/f.u.
Crystal system ... monoclinic